# Sr2LiIn

A crystal of Sr2LiIn relaxed with PBEsol (meta-GGA SCAN, Alexandria).

Unit cell a=7.1374 b=7.3021 c=7.3021 alpha=76.18 beta=60.74 gamma=60.74
Last column: nearest neighbours and their distance in Å.
Atoms (fractional coordinates):
1 Sr 0.6264 0.9986 0.4986  2 In 3.30, 2 Li 3.32, 2 Sr 3.57
2 Sr 0.1236 0.0014 0.5014  2 In 3.30, 2 Li 3.32, 2 Sr 3.57
3 Sr 0.3750 0.5014 0.9986  2 In 3.30, 2 Li 3.32, 2 Sr 3.57
4 Sr 0.8750 0.4986 0.0014  2 In 3.30, 2 Li 3.32, 2 Sr 3.57
5 Li 0.5000 0.0000 0.0000  4 Sr 3.32, 2 In 3.57
6 Li 0.2500 0.5000 0.5000  4 Sr 3.32, 2 In 3.57
7 In 0.0000 0.0000 0.0000  4 Sr 3.30, 2 Li 3.57
8 In 0.7500 0.5000 0.5000  4 Sr 3.30, 2 Li 3.57

Computed properties:
The space group is I-42d (122). As for the energy relative to the elements: -0.04 eV per formula unit. For the raw total energy, the calculation gives -20.09 eV/atom.